(1)
The following is a PBE calculation of an optimized crystal structure of AlCrTe2, from Alexandria.

- magnetization (Bohr magnetons per cell) = 1.166
- energy relative to the elements, uncorrected (eV/f.u.) = 0.5
- final energy (eV/atom) = -4.78
- crystal system = trigonal

a = 3.2312 Å, b = 3.2312 Å, c = 30.5763 Å
α = 90.00°, β = 90.00°, γ = 120.00°
Closest atoms and distances in Å follow each position.
Space group R3m (No. 160, hexagonal axes)
One atom of each set of equivalent atoms:
Al (0.0000, 0.0000, 0.0000) [3 per cell]  3 Cr 2.62
Cr (0.0000, 0.0000, 0.2732) [3 per cell]  3 Te 2.58, 3 Al 2.62
Te (0.0000, 0.0000, 0.5485) [3 per cell]  3 Cr 2.58
Te (0.0000, 0.0000, 0.7463) [3 per cell]  3 Al 3.07, 6 Te 3.23

***

(2)
The following is a PBE calculation of an optimized crystal structure of Na7Cd, from Alexandria.

- magnetization (Bohr magnetons per cell) = 0.000
- final energy (eV/atom) = -1.28
- crystal system = cubic
- formation energy (meV/atom) = -7

a = 10.1871 Å, b = 10.1871 Å, c = 10.1871 Å
α = 90.00°, β = 90.00°, γ = 90.00°
Closest atoms and distances in Å follow each position.
Space group Fm-3m (No. 225)
One atom of each set of equivalent atoms:
Na (0.0000, 0.0000, 0.0000) [4 per cell]  12 Na 3.60
Na (0.0000, 0.2500, 0.2500) [24 per cell]  10 Na 3.60, 2 Cd 3.60
Cd (0.0000, 0.0000, 0.5000) [4 per cell]  12 Na 3.60

***

(3)
The following is a PBE calculation of an optimized crystal structure of YAgHg2, from Alexandria.

- magnetization (Bohr magnetons per cell) = 0.000
- final energy (eV/atom) = -2.58
- crystal system = tetragonal
- formation energy (meV/atom) = -99

a = 8.0958 Å, b = 8.0958 Å, c = 6.1834 Å
α = 90.00°, β = 90.00°, γ = 90.00°
Closest atoms and distances in Å follow each position.
Space group I-42d (No. 122)
One atom of each set of equivalent atoms:
Y (0.0000, 0.0000, 0.0000) [4 per cell]  2 Ag 3.09, 4 Hg 3.10
Ag (0.0000, 0.0000, 0.5000) [4 per cell]  4 Hg 2.83, 2 Y 3.09
Hg (0.2254, 0.2500, 0.6250) [8 per cell]  2 Ag 2.83, 2 Y 3.10, 2 Hg 3.12

***

(4)
The following is a PBE calculation of an optimized crystal structure of ScS3O, from Alexandria.

- magnetization (Bohr magnetons per cell) = 0.000
- energy relative to the elements, uncorrected (eV/f.u.) = -0.8
- distance to the lowest polymorph of the same formula (meV/atom) = 0
- final energy (eV/atom) = -4.90
- crystal system = cubic

a = 4.2434 Å, b = 4.2434 Å, c = 4.2434 Å
α = 90.00°, β = 90.00°, γ = 90.00°
Closest atoms and distances in Å follow each position.
Space group Pm-3m (No. 221)
One atom of each set of equivalent atoms:
Sc (0.0000, 0.0000, 0.0000) [1 per cell]  12 S 3.00
S (0.0000, 0.5000, 0.5000) [3 per cell]  2 O 2.12
O (0.5000, 0.5000, 0.5000) [1 per cell]  6 S 2.12

***

(5)
The following is a PBE calculation of an optimized crystal structure of YMgGe2Pd5, from Alexandria.

- magnetization (Bohr magnetons per cell) = 0.000
- final energy (eV/atom) = -5.45
- crystal system = tetragonal
- formation energy (meV/atom) = -643

a = 4.1987 Å, b = 4.1987 Å, c = 9.0811 Å
α = 90.00°, β = 90.00°, γ = 90.00°
Closest atoms and distances in Å follow each position.
Space group P4/mmm (No. 123)
One atom of each set of equivalent atoms:
Y (0.0000, 0.0000, 0.0000) [1 per cell]  12 Pd 2.96-2.97
Mg (0.0000, 0.0000, 0.5000) [1 per cell]  8 Ge 3.20, 8 Pd 3.23
Ge (0.5000, 0.5000, 0.3687) [2 per cell]  1 Ge 2.38, 4 Pd 2.45
Pd (0.0000, 0.5000, 0.2292) [4 per cell]  2 Ge 2.45
Pd (0.5000, 0.5000, 0.0000) [1 per cell]  8 Pd 2.96, 4 Y 2.97

***

(6)
The following is a PBE calculation of an optimized crystal structure of MgNi2Te, from Alexandria.

- magnetization (Bohr magnetons per cell) = 0.000
- energy relative to the elements, uncorrected (eV/f.u.) = -0.4
- distance to the lowest polymorph of the same formula (meV/atom) = 14
- final energy (eV/atom) = -4.18
- crystal system = trigonal

a = 4.1121 Å, b = 4.1121 Å, c = 13.8708 Å
α = 90.00°, β = 90.00°, γ = 120.00°
Closest atoms and distances in Å follow each position.
Space group R3m (No. 160, hexagonal axes)
One atom of each set of equivalent atoms:
Mg (0.0000, 0.0000, 0.0000) [3 per cell]  4 Ni 2.59-2.75, 1 Te 2.89
Ni (0.0000, 0.0000, 0.1986) [3 per cell]  3 Ni 2.52, 3 Te 2.58, 1 Mg 2.75
Ni (0.0000, 0.0000, 0.5928) [3 per cell]  3 Ni 2.52, 3 Mg 2.59, 1 Te 2.76
Te (0.0000, 0.0000, 0.7918) [3 per cell]  4 Ni 2.58-2.76, 1 Mg 2.89

***

Q: Which value of final energy does entry 1 give?
A: -4.78 eV/atom

***

Q: The lowest final energy belongs to which entry?
A: YMgGe2Pd5

***

Q: The highest final energy belongs to which entry?
A: Na7Cd